## YLuCo2 (PBE)

Data for an optimized crystal structure of YLuCo2.

The final energy is -6.4803 eV per atom. The value obtained for the density of states at the Fermi level is 0.341 states/eV per atom. The value obtained for the formation energy is -0.181 eV/atom.

It has space group Fm-3m (No. 225), with a = 6.6125 Å, b = 6.6125 Å, c = 6.6125 Å, α = 90.00°, β = 90.00° and γ = 90.00°. Symmetry generates all atoms from Y at (0.0000, 0.0000, 0.0000), Lu at (0.0000, 0.0000, 0.5000) and Co at (0.2500, 0.2500, 0.2500).